# 1
DFT (PBE) results for a relaxed Tc2SnMoH crystal.

```
Tc2SnMoH
1.0
4.7043 0.0000 0.0000
0.0000 4.7043 0.0000
0.0000 0.0000 5.3103
Tc Sn Mo H
2 1 1 1
Cartesian
0.0000 2.3522 0.0000 Tc
2.3522 0.0000 0.0000 Tc
0.0000 0.0000 2.6552 Sn
0.0000 0.0000 0.0000 Mo
2.3522 2.3522 2.6552 H
```

V (Å³/cell): 117.5
Raw total energy (eV/atom): -5.900


# 2
DFT (PBE) results for a relaxed Rb2PClF6 crystal.

```
Rb2PClF6
1.0
0.0000 4.6756 4.6756
4.6756 0.0000 4.6756
4.6756 4.6756 0.0000
Rb P Cl F
2 1 1 6
Cartesian
2.3378 2.3378 2.3378 Rb
7.0134 7.0134 7.0134 Rb
0.0000 0.0000 0.0000 P
4.6756 4.6756 4.6756 Cl
4.6756 4.6756 1.6385 F
4.6756 1.6385 4.6756 F
7.7127 4.6756 4.6756 F
1.6385 4.6756 4.6756 F
4.6756 7.7127 4.6756 F
4.6756 4.6756 7.7127 F
```

ΔE_f (raw) (eV/atom): -2.493
V (Å³/cell): 204.4
Raw total energy (eV/atom): -4.535